# 1
Computed, not measured: NaNbZn after structural relaxation at the GGA-PBE level of DFT.

Size of the total moment (μB per cell): 0.0
Calculated volume (Å³/cell): 121.88
Calculated total energy (eV/atom): -3.838
Excess energy over the best structure of this formula in the dataset (meV per atom): 283
Symmetry: Fmmm

a b c (Å): 7.588 6.966 4.554
angles (deg): 79.39 64.46 36.15
Positions (direct):
Na 0.250 0.250 0.250
Na 0.750 0.750 0.750
Nb 0.167 0.833 0.167
Nb 0.833 0.167 0.833
Zn 0.405 0.405 0.595
Zn 0.595 0.595 0.405

# 2
Computed, not measured: BaU2RhS5 after structural relaxation at the GGA-PBE level of DFT.

Size of the total moment (μB per cell): 6.1
Calculated volume (Å³/cell): 383.81
Calculated total energy (eV/atom): -7.207
Symmetry: I4/mcm

a b c (Å): 8.613 8.613 8.613
angles (deg): 128.16 128.16 76.36
Positions (direct):
Ba 0.250 0.250 0.000
Ba 0.750 0.750 0.000
U 0.157 0.657 0.813
U 0.343 0.157 0.500
U 0.657 0.843 0.500
U 0.843 0.343 0.187
Rh 0.250 0.750 0.500
Rh 0.750 0.250 0.500
S 0.000 0.000 0.000
S 0.026 0.224 0.500
S 0.224 0.724 0.198
S 0.276 0.474 0.500
S 0.474 0.974 0.198
S 0.500 0.500 0.000
S 0.526 0.026 0.802
S 0.724 0.526 0.500
S 0.776 0.276 0.802
S 0.974 0.776 0.500

# 3
Computed, not measured: Rb3TiBi3Se8 after structural relaxation at the GGA-PBE level of DFT.

Size of the total moment (μB per cell): 0.0
Calculated volume (Å³/cell): 500.38
Calculated total energy (eV/atom): -4.190
Symmetry: C2/m

a b c (Å): 8.381 8.381 9.539
angles (deg): 116.03 116.03 60.04
Positions (direct):
Rb 0.000 0.000 0.000
Rb 0.000 0.500 0.000
Rb 0.500 0.000 0.000
Ti 0.000 0.000 0.500
Bi 0.000 0.500 0.500
Bi 0.500 0.000 0.500
Bi 0.500 0.500 0.500
Se 0.210 0.210 0.683
Se 0.210 0.762 0.683
Se 0.238 0.790 0.317
Se 0.265 0.265 0.294
Se 0.735 0.735 0.706
Se 0.762 0.210 0.683
Se 0.790 0.238 0.317
Se 0.790 0.790 0.317

# 4
Computed, not measured: Cr2FeRe after structural relaxation at the GGA-PBE level of DFT.

Size of the total moment (μB per cell): 1.1
Calculated volume (Å³/cell): 49.50
Calculated total energy (eV/atom): -9.883
Excess energy over the best structure of this formula in the dataset (meV per atom): 80
Symmetry: P4/mmm

a b c (Å): 3.686 3.686 3.643
angles (deg): 90.00 90.00 90.00
Positions (direct):
Cr 0.000 0.500 0.000
Cr 0.500 0.000 0.000
Fe 0.000 0.000 0.500
Re 0.500 0.500 0.500

# 5
Computed, not measured: Pm2Pr4Y2Tm after structural relaxation at the GGA-PBE level of DFT.

Size of the total moment (μB per cell): 0.0
Calculated volume (Å³/cell): 308.52
Calculated total energy (eV/atom): -5.092
Symmetry: C2/m

a b c (Å): 8.176 8.176 8.121
angles (deg): 107.64 107.64 36.85
Positions (direct):
Pm 0.111 0.111 0.170
Pm 0.889 0.889 0.830
Pr 0.222 0.222 0.832
Pr 0.445 0.445 0.169
Pr 0.555 0.555 0.831
Pr 0.778 0.778 0.168
Y 0.334 0.334 0.500
Y 0.666 0.666 0.500
Tm 0.000 0.000 0.500

# 6
Computed, not measured: RhAuCl4 after structural relaxation at the GGA-PBE level of DFT.

Size of the total moment (μB per cell): 0.0
Calculated volume (Å³/cell): 357.37
Calculated total energy (eV/atom): -3.467
Excess energy over the best structure of this formula in the dataset (meV per atom): 0
Symmetry: C2/c

a b c (Å): 9.161 9.161 6.123
angles (deg): 90.67 90.67 135.91
Positions (direct):
Rh 0.051 0.949 0.750
Rh 0.949 0.051 0.250
Au 0.352 0.648 0.250
Au 0.648 0.352 0.750
Cl 0.041 0.344 0.096
Cl 0.144 0.237 0.578
Cl 0.237 0.144 0.078
Cl 0.344 0.041 0.596
Cl 0.656 0.959 0.404
Cl 0.763 0.856 0.922
Cl 0.856 0.763 0.422
Cl 0.959 0.656 0.904

# 7
Computed, not measured: SrAlW3 after structural relaxation at the GGA-PBE level of DFT.

Size of the total moment (μB per cell): 0.0
Calculated volume (Å³/cell): 110.84
Calculated total energy (eV/atom): -5.303
Excess energy over the best structure of this formula in the dataset (meV per atom): 1742
Symmetry: Pm-3m

a b c (Å): 4.804 4.804 4.804
angles (deg): 90.00 90.00 90.00
Positions (direct):
Sr 0.000 0.000 0.000
Al 0.500 0.500 0.500
W 0.000 0.000 0.500
W 0.000 0.500 0.000
W 0.500 0.000 0.000

# 8
Computed, not measured: AcTmAl2S6 after structural relaxation at the GGA-PBE level of DFT.

Size of the total moment (μB per cell): 0.0
Calculated volume (Å³/cell): 210.74
Calculated total energy (eV/atom): -5.586
Symmetry: R3

a b c (Å): 6.675 6.675 6.675
angles (deg): 60.08 60.08 60.08
Positions (direct):
Ac 0.000 0.000 0.000
Tm 0.464 0.464 0.464
Al 0.250 0.250 0.250
Al 0.757 0.757 0.757
S 0.024 0.576 0.439
S 0.115 0.514 0.900
S 0.439 0.024 0.576
S 0.514 0.900 0.115
S 0.576 0.439 0.024
S 0.900 0.115 0.514